14
Lattice="-2.913 3.061 5.250 2.913 -3.061 5.250 2.913 3.061 -5.250" Properties=species:S:1:pos:R:3 comment="MnAgAuO4 PBE+U relaxed" energy_ev_per_cell=-74.45 mass_density_g_cm3=7.52 magnetic_moment_mub_per_fu=3.0 sg=Imma pbc="T T T"
Mn -1.457 1.531 2.625
Mn 1.457 1.531 2.625
Ag 2.913 1.531 -1.233
Ag 0.000 1.531 6.483
Au 0.000 0.000 0.000
Au 0.000 3.061 0.000
O 2.913 0.277 2.505
O 1.295 1.531 0.565
O 1.618 -1.531 5.815
O 0.000 0.277 2.745
O 2.913 2.784 2.505
O 1.295 4.592 -0.565
O 1.618 1.531 4.685
O 0.000 2.784 2.745